First-principles (GGA+U) data for crystalline MnInO3 at its relaxed geometry, as listed in Alexandria.

Lattice parameters (Å, degrees): 6.021 11.662 6.021 90.00 60.00 90.00
Element x y z (fractional)
Mn (0.000, 0.507, 0.335)
Mn (0.665, 0.507, 0.000)
Mn (0.666, 0.007, 0.334)
Mn (0.334, 0.507, 0.666)
Mn (0.000, 0.007, 0.665)
Mn (0.335, 0.007, 0.000)
In (0.001, 0.237, 0.999)
In (0.999, 0.737, 0.001)
In (0.667, 0.270, 0.666)
In (0.334, 0.270, 0.333)
In (0.333, 0.770, 0.334)
In (0.666, 0.770, 0.667)
O (0.000, 0.532, 0.000)
O (0.000, 0.032, 0.000)
O (0.667, 0.492, 0.667)
O (0.333, 0.492, 0.333)
O (0.333, 0.992, 0.333)
O (0.667, 0.992, 0.667)
O (0.313, 0.341, 0.687)
O (0.000, 0.341, 0.312)
O (0.688, 0.341, 0.000)
O (0.687, 0.841, 0.313)
O (0.000, 0.841, 0.688)
O (0.312, 0.841, 0.000)
O (0.644, 0.173, 0.356)
O (0.000, 0.173, 0.643)
O (0.357, 0.173, 0.000)
O (0.356, 0.673, 0.644)
O (0.000, 0.673, 0.357)
O (0.643, 0.673, 0.000)

Properties
- density of states at the Fermi level (states/eV/cell) = 1.29
- E (eV per atom) = -6.587
- space-group type = P6_3cm, No. 185